TbNpGaO6 | PBE | relaxed

a = 5.309 Å, b = 5.309 Å, c = 9.997 Å
α = 90.00°, β = 90.00°, γ = 120.00°
Sites, in units of the cell vectors:
Tb (0.000, 0.000, 0.000)
Tb (0.000, 0.000, 0.500)
Np (0.333, 0.667, 0.250)
Np (0.667, 0.333, 0.750)
Ga (0.333, 0.667, 0.750)
Ga (0.667, 0.333, 0.250)
O (0.008, 0.355, 0.638)
O (0.008, 0.652, 0.862)
O (0.348, 0.355, 0.862)
O (0.348, 0.992, 0.638)
O (0.355, 0.008, 0.138)
O (0.355, 0.348, 0.362)
O (0.645, 0.652, 0.638)
O (0.645, 0.992, 0.862)
O (0.652, 0.008, 0.362)
O (0.652, 0.645, 0.138)
O (0.992, 0.348, 0.138)
O (0.992, 0.645, 0.362)

Summary:
Symmetry: P-31c
ΔE_f (raw) in eV/atom: -2.700